No. 1
The following is a DFT calculation (PBE-GGA) of NaZrNi3 after structural relaxation.

a b c (Å): 4.731 4.731 4.731
angles (deg): 90.00 90.00 90.00
Atoms (fractional coordinates):
Na (0.000, 0.000, 0.000)
Zr (0.500, 0.500, 0.500)
Ni (0.000, 0.500, 0.500)
Ni (0.500, 0.000, 0.500)
Ni (0.500, 0.500, 0.000)

## Properties
V in A^3/atom: 21.177
ΔH_f (0 K) in eV/atom: 0.9055
Symmetry: Pm-3m (221)
Relative energy among the computed polymorphs in meV per atom: 0
Electronic total energy in eV/cell: -22.7

=====

No. 2
The following is a DFT calculation (PBE-GGA) of Li2LaGaH after structural relaxation.

a b c (Å): 4.384 4.384 4.990
angles (deg): 90.00 90.00 90.00
Atoms (fractional coordinates):
Li (0.000, 0.500, 0.000)
Li (0.500, 0.000, 0.000)
La (0.000, 0.000, 0.500)
Ga (0.500, 0.500, 0.500)
H (0.000, 0.000, 0.000)

## Properties
V in A^3/atom: 19.181
Symmetry: P4/mmm (123)
Electronic total energy in eV/cell: -16.5

=====

No. 3
The following is a DFT calculation (PBE-GGA) of MnSiOsPd after structural relaxation.

a b c (Å): 4.267 4.267 4.267
angles (deg): 60.00 60.00 60.00
Atoms (fractional coordinates):
Mn (0.000, 0.000, 0.000)
Si (0.500, 0.500, 0.500)
Os (0.250, 0.250, 0.250)
Pd (0.750, 0.750, 0.750)

## Properties
V in A^3/atom: 13.734
Symmetry: F-43m (216)
Uncorrected formation energy in eV per formula unit: -0.7
Electronic total energy in eV/cell: -31.8

=====

No. 4
The following is a DFT calculation (PBE-GGA) of Hf3CdW after structural relaxation.

a b c (Å): 5.033 5.033 5.033
angles (deg): 90.00 90.00 90.00
Atoms (fractional coordinates):
Hf (0.000, 0.000, 0.500)
Hf (0.000, 0.500, 0.000)
Hf (0.500, 0.000, 0.000)
Cd (0.000, 0.000, 0.000)
W (0.500, 0.500, 0.500)

## Properties
V in A^3/atom: 25.496
ΔH_f (0 K) in eV/atom: 1.8724
Symmetry: Pm-3m (221)
Relative energy among the computed polymorphs in meV per atom: 992
Electronic total energy in eV/cell: -34.4

=====

No. 5
The following is a DFT calculation (PBE-GGA) of RbTa2TiO8 after structural relaxation.

a b c (Å): 5.592 5.594 7.677
angles (deg): 73.97 73.97 65.61
Atoms (fractional coordinates):
Rb (0.000, 0.000, 0.000)
Ta (0.421, 0.421, 0.251)
Ta (0.579, 0.579, 0.749)
Ti (0.000, 0.000, 0.500)
O (0.218, 0.217, 0.387)
O (0.222, 0.750, 0.326)
O (0.249, 0.778, 0.674)
O (0.383, 0.385, 0.012)
O (0.617, 0.615, 0.988)
O (0.751, 0.222, 0.326)
O (0.778, 0.250, 0.674)
O (0.782, 0.783, 0.613)

## Properties
V in A^3/atom: 17.212
Symmetry: P-1 (2)
Uncorrected formation energy in eV per formula unit: -30.3
Electronic total energy in eV/cell: -102.5

=====

No. 6
The following is a DFT calculation (PBE-GGA) of BeAlInS4 after structural relaxation.

a b c (Å): 6.351 6.351 6.351
angles (deg): 129.32 129.32 74.49
Atoms (fractional coordinates):
Be (0.000, 0.000, 0.000)
Al (0.750, 0.250, 0.500)
In (0.250, 0.750, 0.500)
S (0.106, 0.638, 0.964)
S (0.362, 0.327, 0.468)
S (0.673, 0.141, 0.036)
S (0.859, 0.894, 0.532)

## Properties
V in A^3/atom: 21.346
Symmetry: I-4 (82)
Uncorrected formation energy in eV per formula unit: -6.2
Electronic total energy in eV/cell: -32.9